1.
A geometry-optimized Ho6PuSc2 structure. Source: the Alexandria database, functional GGA-PBE.

The density of states at the Fermi level is 32.43 states/eV per cell. Its offset from the most stable computed form is 1.81 eV per formula unit. As for the energy relative to the elements: 37 kJ per mole of atoms.

Cell lengths 7.1210, 7.1210, 18.5913 Å; angles 90.00, 90.00, 120.00 degrees
Space group R3m (No. 160, hexagonal axes)
Asymmetric unit:
1 Ho 0.1699 0.3398 0.0000
2 Ho 0.1837 0.3674 0.1947
3 Pu 0.0000 0.0000 0.1102
4 Sc 0.0000 0.0000 0.6754
5 Sc 0.0000 0.0000 0.8512

---

2.
A geometry-optimized NdSm2Tm3Te6 structure. Source: the Alexandria database, functional GGA-PBE.

The density of states at the Fermi level is 11.40 states/eV per cell. The calculation puts the formation energy (no corrections) at -1.290 eV per atom.

Cell lengths 19.2902, 4.3192, 8.9016 Å; angles 90.00, 105.64, 90.00 degrees
Space group C2/m (No. 12)
Asymmetric unit:
1 Nd 0.0000 0.0000 0.0000
2 Sm 0.1657 0.5000 0.3311
3 Tm 0.0000 0.0000 0.5000
4 Tm 0.1651 0.5000 0.8322
5 Te 0.0025 0.5000 0.7397
6 Te 0.1643 0.0000 0.5899
7 Te 0.1712 0.0000 0.0762

---

3.
A geometry-optimized Pm3YEr7 structure. Source: the Alexandria database, functional GGA-PBE.

The density of states at the Fermi level is 29.26 states/eV per cell. Its offset from the most stable computed form is 1.33 eV per formula unit. As for the energy relative to the elements: 26 kJ per mole of atoms.

Cell lengths 5.8047, 11.1489, 11.1515 Å; angles 90.00, 90.00, 90.00 degrees
Space group Immm (No. 71)
Asymmetric unit:
1 Pm 0.0000 0.0000 0.0000
2 Pm 0.0000 0.5000 0.2872
3 Y 0.0000 0.0000 0.5000
4 Er 0.0000 0.2091 0.1944
5 Er 0.0000 0.2950 0.5000
6 Er 0.0000 0.5000 0.0000